a) The following is a GGA-PBE calculation of Gd2MgIn after structural relaxation, from Alexandria.

a b c (Å): 3.826 3.826 7.518
angles (deg): 90.00 90.00 90.00
Element x y z (fractional)
Mg: 0.500 0.500 0.000
Gd: 0.000 0.000 0.749
Gd: 0.000 0.000 0.251
In: 0.500 0.500 0.500

For the volume, the calculation gives 27.52 Å³/atom. As for the space-group type: No. 123.

b) The following is a GGA-PBE calculation of Gd2MgIn after structural relaxation, from Alexandria.

a b c (Å): 5.360 5.360 5.360
angles (deg): 60.00 60.00 60.00
Element x y z (fractional)
Mg: 0.000 0.000 0.000
Gd: 0.250 0.250 0.250
Gd: 0.750 0.750 0.750
In: 0.500 0.500 0.500

For the volume, the calculation gives 27.22 Å³/atom. As for the space-group type: No. 225.

What should be chosen as the least stable of them? Choose a).

a) The following is a GGA-PBE calculation of Gd2MgIn after structural relaxation, from Alexandria.

a b c (Å): 4.391 4.986 4.986
angles (deg): 90.00 90.00 90.00
Element x y z (fractional)
Mg: 0.500 0.500 0.500
Gd: 0.000 0.000 0.500
Gd: 0.000 0.500 0.000
In: 0.500 0.000 0.000

For the volume, the calculation gives 27.29 Å³/atom. As for the space-group type: No. 123.

b) The following is a GGA-PBE calculation of Gd2MgIn after structural relaxation, from Alexandria.

a b c (Å): 3.429 3.429 11.991
angles (deg): 81.78 81.78 60.00
Element x y z (fractional)
Mg: 0.500 0.500 0.500
Gd: 0.091 0.091 0.727
Gd: 0.909 0.909 0.273
In: 0.000 0.000 0.000

For the volume, the calculation gives 30.11 Å³/atom. As for the space-group type: No. 166.

What should be chosen as the least stable of them? Choose b).

a) The following is a GGA-PBE calculation of GdMg2In after structural relaxation, from Alexandria.

a b c (Å): 3.547 3.547 8.110
angles (deg): 90.00 90.00 90.00
Element x y z (fractional)
Mg: 0.000 0.000 0.778
Mg: 0.000 0.000 0.222
Gd: 0.500 0.500 0.500
In: 0.500 0.500 0.000

For the volume, the calculation gives 25.50 Å³/atom. As for the space-group type: No. 123.

b) The following is a GGA-PBE calculation of GdMg2In after structural relaxation, from Alexandria.

a b c (Å): 4.821 4.543 4.543
angles (deg): 90.00 90.00 90.00
Element x y z (fractional)
Mg: 0.000 0.000 0.500
Mg: 0.000 0.500 0.000
Gd: 0.500 0.500 0.500
In: 0.500 0.000 0.000

For the volume, the calculation gives 24.87 Å³/atom. As for the space-group type: No. 123.

c) The following is a GGA-PBE calculation of GdMg2In after structural relaxation, from Alexandria.

a b c (Å): 5.143 5.143 5.143
angles (deg): 60.00 60.00 60.00
Element x y z (fractional)
Mg: 0.250 0.250 0.250
Mg: 0.750 0.750 0.750
Gd: 0.500 0.500 0.500
In: 0.000 0.000 0.000

For the volume, the calculation gives 24.04 Å³/atom. As for the space-group type: No. 225.

What should be chosen as the least stable of them? Choose a).